The following is a DFT calculation (PBE) of crystalline FeSiOs2 at its relaxed geometry.

Unit cell a=2.7207 b=2.7207 c=24.4740 alpha=90.00 beta=90.00 gamma=120.00
Space group R3m (No. 160, hexagonal axes)
Unique sites:
Fe: 0.0000 0.0000 0.0000 x3
Si: 0.0000 0.0000 0.2582 x3
Os: 0.0000 0.0000 0.5088 x3
Os: 0.0000 0.0000 0.7506 x3

Summary:
- E_form (uncorrected): 0.03 eV/f.u.
- Calculated volume: 13.07 Å³/atom